Arrangement a

Material: Ni2CF
Method: DFT, GGA+U
State: relaxed

Unit cell a=5.0317 b=5.0317 c=6.6366 alpha=90.00 beta=90.00 gamma=90.00
Atoms (fractional coordinates):
Ni 0.1925 0.2500 0.1250
Ni 0.2500 0.6925 0.3750
Ni 0.2500 0.8075 0.8750
Ni 0.3075 0.2500 0.6250
Ni 0.6925 0.7500 0.6250
Ni 0.7500 0.1925 0.8750
Ni 0.7500 0.3075 0.3750
Ni 0.8075 0.7500 0.1250
C 0.0000 0.0000 0.0000
C 0.0000 0.5000 0.2500
C 0.5000 0.0000 0.7500
C 0.5000 0.5000 0.5000
F 0.0000 0.0000 0.5000
F 0.0000 0.5000 0.7500
F 0.5000 0.0000 0.2500
F 0.5000 0.5000 0.0000

## Properties
SG = I-42d (122)

---

Arrangement b

Material: Ni2CF
Method: DFT, GGA+U
State: relaxed

Unit cell a=5.1426 b=5.1426 c=5.1426 alpha=90.00 beta=90.00 gamma=90.00
Atoms (fractional coordinates):
Ni 0.2500 0.2500 0.2500
Ni 0.2500 0.2500 0.7500
Ni 0.2500 0.7500 0.2500
Ni 0.2500 0.7500 0.7500
Ni 0.7500 0.2500 0.2500
Ni 0.7500 0.2500 0.7500
Ni 0.7500 0.7500 0.2500
Ni 0.7500 0.7500 0.7500
C 0.0000 0.0000 0.0000
C 0.0000 0.5000 0.5000
C 0.5000 0.0000 0.5000
C 0.5000 0.5000 0.0000
F 0.0000 0.0000 0.5000
F 0.0000 0.5000 0.0000
F 0.5000 0.0000 0.0000
F 0.5000 0.5000 0.5000

## Properties
SG = Fm-3m (225)

---

Most stable to least stable: arrangement a, arrangement b